Entry from Alexandria via LeMat-Bulk: a relaxed structure of Sr4LiV3O12 (PBE+U).

Properties
Space-group type: Im-3m (229)
Final energy: -6.928 eV/atom

Lattice parameters (Å, degrees): 6.771 6.771 6.771 109.47 109.47 109.47
Positions (direct):
Sr (0.000, 0.000, 0.500)
Sr (0.000, 0.500, 0.000)
Sr (0.500, 0.000, 0.000)
Sr (0.500, 0.500, 0.500)
Li (0.000, 0.000, 0.000)
V (0.000, 0.500, 0.500)
V (0.500, 0.000, 0.500)
V (0.500, 0.500, 0.000)
O (0.000, 0.269, 0.269)
O (0.000, 0.731, 0.731)
O (0.250, 0.500, 0.750)
O (0.250, 0.750, 0.500)
O (0.269, 0.000, 0.269)
O (0.269, 0.269, 0.000)
O (0.500, 0.250, 0.750)
O (0.500, 0.750, 0.250)
O (0.731, 0.000, 0.731)
O (0.731, 0.731, 0.000)
O (0.750, 0.250, 0.500)
O (0.750, 0.500, 0.250)